Record 1
VASP calculation (GGA-PBE) on a relaxed structure of Dy2MgHg2.

As for the volume: 259 Å³ per cell. The calculation puts the magnetization at 0.00 μB/f.u. For the formation enthalpy at 0 K, the calculation gives -401 meV per atom. The value obtained for the calculated total energy is -2.6811 eV per atom.

a b c (Å): 8.1041 8.1041 3.9489
angles (deg): 90.00 90.00 90.00
Space group P4/mbm (No. 127)
Inequivalent atoms, fractional coordinates:
1 Dy 0.1651 0.3349 0.0000
2 Mg 0.0000 0.0000 0.5000
3 Hg 0.1354 0.6354 0.5000

Record 2
VASP calculation (GGA-PBE) on a relaxed structure of Dy3Mg5Hg2.

As for the volume: 1037 Å³ per cell. The calculation puts the magnetization at 0.00 μB/f.u. For the formation enthalpy at 0 K, the calculation gives -93 meV per atom. The value obtained for the calculated total energy is -2.3318 eV per atom.

a b c (Å): 12.5248 13.1911 6.2765
angles (deg): 90.00 90.00 90.00
Space group Ibam (No. 72)
Inequivalent atoms, fractional coordinates:
1 Dy 0.0000 0.0000 0.2500
2 Dy 0.1343 0.2438 0.0000
3 Mg 0.0000 0.5000 0.2500
4 Mg 0.1131 0.3473 0.5000
5 Mg 0.2433 0.5000 0.2500
6 Hg 0.1385 0.1475 0.5000

Record 3
VASP calculation (GGA-PBE) on a relaxed structure of DyMgHg.

As for the volume: 74 Å³ per cell. The calculation puts the magnetization at 0.00 μB/f.u. For the formation enthalpy at 0 K, the calculation gives -313 meV per atom. The value obtained for the calculated total energy is -2.4790 eV per atom.

a b c (Å): 4.9356 4.9356 3.4874
angles (deg): 90.00 90.00 120.00
Space group P-6m2 (No. 187)
Inequivalent atoms, fractional coordinates:
1 Dy 0.0000 0.0000 0.0000
2 Mg 0.3333 0.6667 0.5000
3 Hg 0.6667 0.3333 0.5000

Record 4
VASP calculation (GGA-PBE) on a relaxed structure of Dy3Mg12Hg5.

As for the volume: 5012 Å³ per cell. The calculation puts the magnetization at 0.00 μB/f.u. For the formation enthalpy at 0 K, the calculation gives 303 meV per atom. The value obtained for the calculated total energy is -1.4199 eV per atom.

a b c (Å): 17.1139 17.1139 17.1139
angles (deg): 90.00 90.00 90.00
Space group Ia-3d (No. 230)
Inequivalent atoms, fractional coordinates:
1 Dy 0.0000 0.2500 0.1250
2 Mg 0.0252 0.0701 0.6442
3 Hg 0.0000 0.0000 0.0000
4 Hg 0.0000 0.2500 0.3750

Record 5
VASP calculation (GGA-PBE) on a relaxed structure of DyMgHg4.

As for the volume: 142 Å³ per cell. The calculation puts the magnetization at 0.00 μB/f.u. For the formation enthalpy at 0 K, the calculation gives -259 meV per atom. The value obtained for the calculated total energy is -1.4933 eV per atom.

a b c (Å): 4.1336 5.3759 7.3064
angles (deg): 108.35 90.55 111.41
Space group P-1 (No. 2)
Inequivalent atoms, fractional coordinates:
1 Dy 0.0000 0.0000 0.0000
2 Mg 0.0000 0.0000 0.5000
3 Hg 0.3269 0.6610 0.6597
4 Hg 0.3430 0.6778 0.1810

Record 6
VASP calculation (GGA-PBE) on a relaxed structure of Dy3Mg2Hg3.

As for the volume: 398 Å³ per cell. For the energy above the most stable polymorph in this dataset, the calculation gives 0.000 eV per atom. The calculation puts the magnetization at 0.00 μB/f.u. For the formation enthalpy at 0 K, the calculation gives -384 meV per atom. The value obtained for the calculated total energy is -2.6220 eV per atom.

a b c (Å): 8.8571 8.8571 5.8562
angles (deg): 90.00 90.00 120.00
Space group P6_3/mcm (No. 193)
Inequivalent atoms, fractional coordinates:
1 Dy 0.0000 0.2496 0.2500
2 Mg 0.3333 0.6667 0.0000
3 Hg 0.0000 0.3968 0.7500